Below is a relaxed KLi3Ir crystal, with properties calculated at the PBE level.

Output
**Space group**: Pm-3m
**DFT formation energy**: 232.4 meV/atom
**D(E_F)**: 0.481 states/eV per atom
**Total energy**: -14.54 eV per formula unit
**ΔE to the lowest computed polymorph**: 0.000 eV per atom

Cell: 4.900 4.900 4.900 Å, 90.00 90.00 90.00°
Fractional coordinates of all 5 atoms:
K (0.000, 0.000, 0.000)
Li (0.000, 0.500, 0.500)
Li (0.500, 0.000, 0.500)
Li (0.500, 0.500, 0.000)
Ir (0.500, 0.500, 0.500)

Below is a relaxed Ac2ScCuS5 crystal, with properties calculated at the PBE level.

Output
**Space group**: Cmc2_1
**Energy relative to the elements, uncorrected**: -16.21 eV per formula unit
**Total energy**: -55.49 eV per formula unit

Cell: 8.776 8.776 11.900 Å, 90.00 90.00 153.57°
Fractional coordinates of all 18 atoms:
Ac (0.113, 0.887, 0.500)
Ac (0.127, 0.873, 0.122)
Ac (0.873, 0.127, 0.622)
Ac (0.887, 0.113, 0.000)
Sc (0.193, 0.807, 0.822)
Sc (0.807, 0.193, 0.322)
Cu (0.436, 0.564, 0.262)
Cu (0.564, 0.436, 0.762)
S (0.050, 0.950, 0.861)
S (0.290, 0.710, 0.469)
S (0.308, 0.692, 0.174)
S (0.349, 0.651, 0.815)
S (0.499, 0.501, 0.591)
S (0.501, 0.499, 0.091)
S (0.651, 0.349, 0.315)
S (0.692, 0.308, 0.674)
S (0.710, 0.290, 0.969)
S (0.950, 0.050, 0.361)

Below is a relaxed TmZn2Hg crystal, with properties calculated at the PBE level.

Output
**Space group**: Cmcm
**DFT formation energy**: -275.9 meV/atom
**D(E_F)**: 0.495 states/eV per atom
**Total energy**: -8.42 eV per formula unit
**ΔE to the lowest computed polymorph**: 0.000 eV per atom

Cell: 3.524 20.440 4.505 Å, 90.00 90.00 90.00°
Fractional coordinates of all 16 atoms:
Tm (0.000, 0.094, 0.250)
Tm (0.000, 0.906, 0.750)
Tm (0.500, 0.406, 0.750)
Tm (0.500, 0.594, 0.250)
Zn (0.000, 0.266, 0.750)
Zn (0.000, 0.473, 0.250)
Zn (0.000, 0.527, 0.750)
Zn (0.000, 0.734, 0.250)
Zn (0.500, 0.027, 0.750)
Zn (0.500, 0.234, 0.250)
Zn (0.500, 0.766, 0.750)
Zn (0.500, 0.973, 0.250)
Hg (0.000, 0.341, 0.250)
Hg (0.000, 0.659, 0.750)
Hg (0.500, 0.159, 0.750)
Hg (0.500, 0.841, 0.250)

Below is a relaxed MgMnRu2 crystal, with properties calculated at the PBE level.

Output
**Space group**: R-3m
**DFT formation energy**: 137.3 meV/atom
**D(E_F)**: 0.935 states/eV per atom
**Total energy**: -28.77 eV per formula unit

Cell: 2.781 2.781 25.886 Å, 90.00 90.00 120.00°
Fractional coordinates of all 12 atoms:
Mg (0.000, 0.000, 0.000)
Mg (0.333, 0.667, 0.667)
Mg (0.667, 0.333, 0.333)
Mn (0.000, 0.000, 0.500)
Mn (0.333, 0.667, 0.167)
Mn (0.667, 0.333, 0.833)
Ru (0.000, 0.000, 0.244)
Ru (0.000, 0.000, 0.756)
Ru (0.333, 0.667, 0.423)
Ru (0.333, 0.667, 0.911)
Ru (0.667, 0.333, 0.089)
Ru (0.667, 0.333, 0.577)

Below is a relaxed MoAsBr2 crystal, with properties calculated at the PBE level.

Output
**Space group**: Cmmm
**D(E_F)**: 0.794 states/eV per atom
**Energy relative to the elements, uncorrected**: 3.85 eV per formula unit
**Total energy**: -14.97 eV per formula unit
**ΔE to the lowest computed polymorph**: 1.138 eV per atom

Cell: 6.924 6.951 3.329 Å, 90.00 90.00 90.00°
Fractional coordinates of all 8 atoms:
Mo (0.000, 0.000, 0.000)
Mo (0.500, 0.500, 0.000)
As (0.000, 0.500, 0.000)
As (0.500, 0.000, 0.000)
Br (0.250, 0.250, 0.500)
Br (0.250, 0.750, 0.500)
Br (0.750, 0.250, 0.500)
Br (0.750, 0.750, 0.500)

Below is a relaxed Cs3KAu crystal, with properties calculated at the PBE level.

Output
**Space group**: R-3
**DFT formation energy**: -115.2 meV/atom
**D(E_F)**: 0.974 states/eV per atom
**Total energy**: -7.51 eV per formula unit
**ΔE to the lowest computed polymorph**: 0.023 eV per atom

Cell: 10.587 10.587 10.587 Å, 55.58 55.58 55.58°
Fractional coordinates of all 10 atoms:
Cs (0.112, 0.810, 0.385)
Cs (0.190, 0.615, 0.888)
Cs (0.385, 0.112, 0.810)
Cs (0.615, 0.888, 0.190)
Cs (0.810, 0.385, 0.112)
Cs (0.888, 0.190, 0.615)
K (0.321, 0.321, 0.321)
K (0.679, 0.679, 0.679)
Au (0.192, 0.192, 0.192)
Au (0.808, 0.808, 0.808)